1.
# LiSmTmLu

A geometry-optimized LiSmTmLu structure (GGA-PBE, Alexandria via LeMat-Bulk).

Cell: 7.6929 7.6929 7.6929 Å, 90.00 90.00 90.00°
Closest atoms and distances in Å follow each position.
Space group F-43m (No. 216)
Inequivalent atoms, fractional coordinates:
Li 0.0000 0.0000 0.0000 (multiplicity 4)  4 Sm 3.33, 4 Tm 3.33
Sm 0.2500 0.2500 0.7500 (multiplicity 4)  4 Lu 3.33, 4 Li 3.33
Tm 0.2500 0.2500 0.2500 (multiplicity 4)  4 Li 3.33, 4 Lu 3.33
Lu 0.0000 0.0000 0.5000 (multiplicity 4)  4 Tm 3.33, 4 Sm 3.33

Properties
E_form   0.1606 eV/atom

---

2.
# NbFePt2

A geometry-optimized NbFePt2 structure (GGA-PBE, Alexandria via LeMat-Bulk).

Cell: 3.8575 3.8575 4.0150 Å, 90.00 90.00 90.00°
Closest atoms and distances in Å follow each position.
Space group P4/mmm (No. 123)
Inequivalent atoms, fractional coordinates:
Nb 0.0000 0.0000 0.0000 (multiplicity 1)  4 Fe 2.73, 8 Pt 2.78
Fe 0.5000 0.5000 0.0000 (multiplicity 1)  4 Nb 2.73, 8 Pt 2.78
Pt 0.0000 0.5000 0.5000 (multiplicity 2)  4 Pt 2.73, 4 Nb 2.78, 4 Fe 2.78

Properties
E_form   -0.4532 eV/atom

---

3.
# TiZnPt

A geometry-optimized TiZnPt structure (GGA-PBE, Alexandria via LeMat-Bulk).

Cell: 4.3818 4.3818 2.7611 Å, 90.00 90.00 120.00°
Closest atoms and distances in Å follow each position.
Space group P-6m2 (No. 187)
Inequivalent atoms, fractional coordinates:
Ti 0.0000 0.0000 0.0000 (multiplicity 1)  2 Ti 2.76, 6 Pt 2.88, 6 Zn 2.88
Zn 0.6667 0.3333 0.5000 (multiplicity 1)  3 Pt 2.53, 2 Zn 2.76
Pt 0.3333 0.6667 0.5000 (multiplicity 1)  3 Zn 2.53, 2 Pt 2.76

Properties
E_form   -0.6439 eV/atom

---

4.
# Pu2Al2Au5

A geometry-optimized Pu2Al2Au5 structure (GGA-PBE, Alexandria via LeMat-Bulk).

Cell: 4.6819 4.6819 8.6932 Å, 90.00 90.00 90.00°
Closest atoms and distances in Å follow each position.
Space group P4/mmm (No. 123)
Inequivalent atoms, fractional coordinates:
Pu 0.0000 0.0000 0.0000 (multiplicity 1)  8 Au 3.30, 8 Al 3.56
Pu 0.0000 0.0000 0.5000 (multiplicity 1)  12 Au 3.10-3.31
Al 0.5000 0.5000 0.1495 (multiplicity 2)  4 Au 2.55, 1 Al 2.60
Au 0.0000 0.5000 0.2668 (multiplicity 4)  2 Al 2.55
Au 0.5000 0.5000 0.5000 (multiplicity 1)  2 Al 3.05, 8 Au 3.10, 4 Pu 3.31

Properties
E_form   -0.3662 eV/atom

---

How do the records compare in density? In the order shown, they have 7.312; 14.978; 11.153; 13.305 Mg/m³.